No. 1
# La3PrSm2S6 | Alexandria | PBE | optimized geometry
data_La3PrSm2S6
_cell_length_a 7.092
_cell_length_b 12.306
_cell_length_c 7.097
_cell_angle_alpha 90.00
_cell_angle_beta 109.54
_cell_angle_gamma 90.00
_space_group_name_H-M_alt 'C 1 2/m 1'
_space_group_IT_number 12
loop_
_space_group_symop_operation_xyz
'x,y,z'
'-x,-y,-z'
'-x,y,-z'
'x,-y,z'
'x+1/2,y+1/2,z'
'-x+1/2,-y+1/2,-z'
'-x+1/2,y+1/2,-z'
'x+1/2,-y+1/2,z'
loop_
_atom_site_label
_atom_site_fract_x
_atom_site_fract_y
_atom_site_fract_z
La1 0.000 0.000 0.000
La2 0.000 0.335 0.000
Pr1 0.000 0.500 0.500
Sm1 0.000 0.167 0.500
S1 0.242 0.000 0.741
S2 0.250 0.169 0.257
# raw total energy	-157.99	eV/cell
# total moment	0.0	μB/f.u.
# crystal system	monoclinic
# energy relative to the elements, uncorrected	-202.86	kJ/mol of atoms



No. 2
# SrBiAu | Alexandria | PBE | optimized geometry
data_SrBiAu
_cell_length_a 5.5276
_cell_length_b 5.5276
_cell_length_c 6.6266
_cell_angle_alpha 90.00
_cell_angle_beta 90.00
_cell_angle_gamma 120.00
_space_group_name_H-M_alt 'P 63/m m c'
_space_group_IT_number 194
_space_group_name_Hall '-P 6c 2c'
loop_
_atom_site_label
_atom_site_fract_x
_atom_site_fract_y
_atom_site_fract_z
Sr1 0.3333 0.6667 0.2500
Bi1 0.3333 0.6667 0.7500
Au1 0.0000 0.0000 0.0000
# raw total energy	-19.70	eV/cell
# ΔH_f (0 K)	-0.34	eV/atom
# total moment	0.0	μB/f.u.
# crystal system	hexagonal



No. 3
# FeH8Rh6 | Alexandria | PBE | optimized geometry
data_FeH8Rh6
_cell_length_a 7.7113
_cell_length_b 7.7113
_cell_length_c 7.0682
_cell_angle_alpha 90.00
_cell_angle_beta 90.00
_cell_angle_gamma 120.00
_space_group_name_H-M_alt 'R -3'
_space_group_IT_number 148
_space_group_name_Hall '-R 3'
loop_
_atom_site_label
_atom_site_fract_x
_atom_site_fract_y
_atom_site_fract_z
Fe1 0.0000 0.0000 0.0000
H1 0.0000 0.0000 0.2794
H2 0.0435 0.4396 0.8176
Rh1 0.0508 0.2470 0.6680
# raw total energy	-236.59	eV/cell
# total moment	4.5	μB/f.u.
# crystal system	trigonal